A plane-wave DFT calculation with PBE-GGA was carried out for a geometry-optimized YTaW2 structure.

abc: 3.1182 3.1182 28.1444
angles: 90.00 90.00 120.00
Space group R3m (No. 160, hexagonal axes)
One atom of each set of equivalent atoms:
1 Y 0.0000 0.0000 0.0000 x3
2 Ta 0.0000 0.0000 0.2366 x3
3 W 0.0000 0.0000 0.4944 x3
4 W 0.0000 0.0000 0.7587 x3

Values from the calculation:
The calculation puts the volume at 19.75 Å³ per atom. The calculated formation energy is 0.522 eV/atom. The density of states at the Fermi level comes out at 9.30 states/eV/cell.

---

A plane-wave DFT calculation with PBE-GGA was carried out for a geometry-optimized ScSn2Pt structure.

abc: 4.430 4.430 4.154
angles: 90.00 90.00 90.00
Space group P4/mmm (No. 123)
One atom of each set of equivalent atoms:
1 Sc 0.000 0.000 0.000 x1
2 Sn 0.000 0.500 0.500 x2
3 Pt 0.500 0.500 0.000 x1

Values from the calculation:
The calculation puts the volume at 20.38 Å³ per atom. The calculated formation energy is -0.570 eV/atom. The density of states at the Fermi level comes out at 1.93 states/eV/cell.

---

A plane-wave DFT calculation with PBE-GGA was carried out for a geometry-optimized KNa2GaGe structure.

abc: 5.690 5.690 5.162
angles: 90.00 90.00 90.00
Space group P4/mmm (No. 123)
One atom of each set of equivalent atoms:
1 K 0.000 0.000 0.000 x1
2 Na 0.000 0.500 0.500 x2
3 Ga 0.500 0.500 0.500 x1
4 Ge 0.500 0.500 0.000 x1

Values from the calculation:
The calculation puts the volume at 33.43 Å³ per atom. The calculated formation energy is 0.064 eV/atom. The density of states at the Fermi level comes out at 2.49 states/eV/cell.